First-principles (PBE) data for crystalline La2PuTl at its relaxed geometry, as listed in the Alexandria database.

Computed properties:
Magnetic moment ... 1.696 μB/atom
V ... 31.97 A^3/atom
Formation enthalpy at 0 K ... -0.3 eV per formula unit

a = 3.8103 Å, b = 3.8103 Å, c = 8.8081 Å
α = 90.00°, β = 90.00°, γ = 90.00°
Closest atoms and distances in Å follow each position.
Sites, in units of the cell vectors:
Tl  0.5000  0.5000  0.0000  8 La 3.43, 4 Tl 3.81
La  0.0000  0.0000  0.7597  4 Tl 3.43, 4 Pu 3.53, 4 La 3.81
La  0.0000  0.0000  0.2403  4 Tl 3.43, 4 Pu 3.53, 4 La 3.81
Pu  0.5000  0.5000  0.5000  8 La 3.53, 4 Pu 3.81

First-principles (PBE) data for crystalline La2PuTl at its relaxed geometry, as listed in the Alexandria database.

Computed properties:
Magnetic moment ... 1.713 μB/atom
V ... 31.25 A^3/atom
Formation enthalpy at 0 K ... -0.1 eV per formula unit

a = 5.6120 Å, b = 5.6120 Å, c = 5.6120 Å
α = 60.00°, β = 60.00°, γ = 60.00°
Closest atoms and distances in Å follow each position.
Sites, in units of the cell vectors:
Tl  0.5000  0.5000  0.5000  8 La 3.44
La  0.2500  0.2500  0.2500  4 Tl 3.44, 4 Pu 3.44
La  0.7500  0.7500  0.7500  4 Tl 3.44, 4 Pu 3.44
Pu  0.0000  0.0000  0.0000  8 La 3.44

First-principles (PBE) data for crystalline La5PuTl6 at its relaxed geometry, as listed in the Alexandria database.

Computed properties:
Magnetic moment ... 0.504 μB/atom
V ... 31.11 A^3/atom
Formation enthalpy at 0 K ... -4.1 eV per formula unit

a = 5.6131 Å, b = 7.8873 Å, c = 9.7223 Å
α = 113.93°, β = 106.78°, γ = 90.00°
Closest atoms and distances in Å follow each position.
Sites, in units of the cell vectors:
Tl  0.8344  0.5847  0.6689  1 Pu 3.42, 7 La 3.42-3.49
Tl  0.8345  0.0842  0.6689  1 Pu 3.42, 7 La 3.42-3.49
Tl  0.5000  0.7515  0.0000  6 La 3.39-3.46, 2 Pu 3.42
Tl  0.5000  0.2485  0.0000  6 La 3.39-3.46, 2 Pu 3.42
Tl  0.1655  0.9158  0.3311  1 Pu 3.42, 7 La 3.42-3.49
Tl  0.1656  0.4153  0.3311  1 Pu 3.42, 7 La 3.42-3.49
Pu  0.0000  0.0000  0.0000  8 Tl 3.42
La  0.6640  0.1640  0.3279  8 Tl 3.39-3.49
La  0.3320  0.3320  0.6640  8 Tl 3.43-3.46
La  0.0000  0.5000  0.0000  8 Tl 3.42-3.44
La  0.6680  0.6680  0.3360  8 Tl 3.43-3.46
La  0.3360  0.8360  0.6721  8 Tl 3.39-3.49

First-principles (PBE) data for crystalline La3PuTl4 at its relaxed geometry, as listed in the Alexandria database.

Computed properties:
Magnetic moment ... 0.737 μB/atom
V ... 29.96 A^3/atom
Formation enthalpy at 0 K ... -2.5 eV per formula unit

a = 3.5792 Å, b = 3.5792 Å, c = 18.7102 Å
α = 90.00°, β = 90.00°, γ = 90.00°
Closest atoms and distances in Å follow each position.
Sites, in units of the cell vectors:
Tl  0.0000  0.0000  0.8796  4 Pu 3.39, 4 La 3.47, 4 Tl 3.58
Tl  0.0000  0.0000  0.1204  4 Pu 3.39, 4 La 3.47, 4 Tl 3.58
Tl  0.0000  0.0000  0.3738  8 La 3.46-3.47, 4 Tl 3.58
Tl  0.0000  0.0000  0.6262  8 La 3.46-3.47, 4 Tl 3.58
Pu  0.5000  0.5000  0.0000  8 Tl 3.39, 4 Pu 3.58
La  0.5000  0.5000  0.2472  8 Tl 3.47, 4 La 3.58
La  0.5000  0.5000  0.5000  8 Tl 3.46, 4 La 3.58
La  0.5000  0.5000  0.7528  8 Tl 3.47, 4 La 3.58

First-principles (PBE) data for crystalline LaPuTl3 at its relaxed geometry, as listed in the Alexandria database.

Computed properties:
Magnetic moment ... 1.122 μB/atom
V ... 31.47 A^3/atom
Formation enthalpy at 0 K ... -0.3 eV per formula unit

a = 6.0348 Å, b = 7.7540 Å, c = 7.7540 Å
α = 119.85°, β = 90.00°, γ = 90.00°
Closest atoms and distances in Å follow each position.
Sites, in units of the cell vectors:
La  0.2500  0.3339  0.6661  12 Tl 3.50-3.92
La  0.7500  0.6661  0.3339  12 Tl 3.50-3.92
Pu  0.0000  0.0000  0.0000  2 Pu 3.02, 6 Tl 3.10
Pu  0.5000  0.0000  0.0000  2 Pu 3.02, 6 Tl 3.10
Tl  0.2500  0.7986  0.2014  2 Tl 3.08, 2 Pu 3.10
Tl  0.7500  0.2014  0.7986  2 Tl 3.08, 2 Pu 3.10
Tl  0.2500  0.7983  0.5980  2 Tl 3.08, 2 Pu 3.10
Tl  0.7500  0.2017  0.4020  2 Tl 3.08, 2 Pu 3.10
Tl  0.2500  0.4020  0.2017  2 Tl 3.08, 2 Pu 3.10
Tl  0.7500  0.5980  0.7983  2 Tl 3.08, 2 Pu 3.10

First-principles (PBE) data for crystalline LaPuTl4 at its relaxed geometry, as listed in the Alexandria database.

Computed properties:
Magnetic moment ... 1.134 μB/atom
V ... 29.17 A^3/atom
Formation enthalpy at 0 K ... -0.3 eV per formula unit

a = 6.2786 Å, b = 6.2786 Å, c = 6.2786 Å
α = 60.00°, β = 60.00°, γ = 60.00°
Closest atoms and distances in Å follow each position.
Sites, in units of the cell vectors:
Tl  0.6250  0.6250  0.1250  6 Tl 3.14
Tl  0.6250  0.1250  0.6250  6 Tl 3.14
Tl  0.6250  0.6250  0.6250  6 Tl 3.14
Tl  0.1250  0.6250  0.6250  6 Tl 3.14
La  0.2500  0.2500  0.2500  12 Tl 3.68, 4 Pu 3.84
Pu  0.0000  0.0000  0.0000  12 Tl 3.68, 4 La 3.84

First-principles (PBE) data for crystalline LaPu2Tl9 at its relaxed geometry, as listed in the Alexandria database.

Computed properties:
Magnetic moment ... 0.958 μB/atom
V ... 28.05 A^3/atom
Formation enthalpy at 0 K ... -1.7 eV per formula unit

a = 4.8214 Å, b = 4.8214 Å, c = 14.4788 Å
α = 90.00°, β = 90.00°, γ = 90.00°
Closest atoms and distances in Å follow each position.
Sites, in units of the cell vectors:
La  0.0000  0.0000  0.0000  12 Tl 3.41-3.46
Pu  0.0000  0.0000  0.3357  12 Tl 3.39-3.41
Pu  0.0000  0.0000  0.6643  12 Tl 3.39-3.41
Tl  0.5000  0.5000  0.0000  4 La 3.41, 8 Tl 3.46
Tl  0.5000  0.5000  0.3353  8 Tl 3.38-3.39, 4 Pu 3.41
Tl  0.5000  0.5000  0.6647  8 Tl 3.38-3.39, 4 Pu 3.41
Tl  0.5000  0.0000  0.1714  8 Tl 3.38-3.46, 2 Pu 3.39, 2 La 3.46
Tl  0.5000  0.0000  0.5000  4 Pu 3.39, 8 Tl 3.39-3.41
Tl  0.5000  0.0000  0.8286  8 Tl 3.38-3.46, 2 Pu 3.39, 2 La 3.46
Tl  0.0000  0.5000  0.1714  8 Tl 3.38-3.46, 2 Pu 3.39, 2 La 3.46
Tl  0.0000  0.5000  0.5000  4 Pu 3.39, 8 Tl 3.39-3.41
Tl  0.0000  0.5000  0.8286  8 Tl 3.38-3.46, 2 Pu 3.39, 2 La 3.46

First-principles (PBE) data for crystalline LaPuTl2 at its relaxed geometry, as listed in the Alexandria database.

Computed properties:
Magnetic moment ... 1.471 μB/atom
V ... 28.80 A^3/atom
Formation enthalpy at 0 K ... -0.8 eV per formula unit

a = 3.4689 Å, b = 3.4689 Å, c = 9.5729 Å
α = 90.00°, β = 90.00°, γ = 90.00°
Closest atoms and distances in Å follow each position.
Sites, in units of the cell vectors:
Tl  0.0000  0.0000  0.7567  4 Pu 3.38, 4 Tl 3.47, 4 La 3.47
Tl  0.0000  0.0000  0.2433  4 Pu 3.38, 4 Tl 3.47, 4 La 3.47
La  0.5000  0.5000  0.5000  4 La 3.47, 8 Tl 3.47
Pu  0.5000  0.5000  0.0000  8 Tl 3.38, 4 Pu 3.47

First-principles (PBE) data for crystalline LaPuTl2 at its relaxed geometry, as listed in the Alexandria database.

Computed properties:
Magnetic moment ... 1.581 μB/atom
V ... 30.07 A^3/atom
Formation enthalpy at 0 K ... -0.7 eV per formula unit

a = 5.5407 Å, b = 5.5407 Å, c = 5.5407 Å
α = 60.00°, β = 60.00°, γ = 60.00°
Closest atoms and distances in Å follow each position.
Sites, in units of the cell vectors:
Tl  0.2500  0.2500  0.2500  4 La 3.39, 4 Pu 3.39
Tl  0.7500  0.7500  0.7500  4 La 3.39, 4 Pu 3.39
La  0.5000  0.5000  0.5000  8 Tl 3.39
Pu  0.0000  0.0000  0.0000  8 Tl 3.39

First-principles (PBE) data for crystalline LaYPuTl at its relaxed geometry, as listed in the Alexandria database.

Computed properties:
Magnetic moment ... 1.784 μB/atom
V ... 29.89 A^3/atom
Formation enthalpy at 0 K ... 0.0 eV per formula unit

a = 5.5294 Å, b = 5.5294 Å, c = 5.5294 Å
α = 60.00°, β = 60.00°, γ = 60.00°
Closest atoms and distances in Å follow each position.
Sites, in units of the cell vectors:
Y  0.7500  0.7500  0.7500  4 Pu 3.39, 4 Tl 3.39
Tl  0.0000  0.0000  0.0000  4 Y 3.39, 4 La 3.39
La  0.2500  0.2500  0.2500  4 Tl 3.39, 4 Pu 3.39
Pu  0.5000  0.5000  0.5000  4 Y 3.39, 4 La 3.39

First-principles (PBE) data for crystalline LaPuTlZn at its relaxed geometry, as listed in the Alexandria database.

Computed properties:
Magnetic moment ... 1.601 μB/atom
V ... 27.77 A^3/atom
Formation enthalpy at 0 K ... -0.6 eV per formula unit

a = 5.3958 Å, b = 5.3958 Å, c = 5.3958 Å
α = 60.00°, β = 60.00°, γ = 60.00°
Closest atoms and distances in Å follow each position.
Sites, in units of the cell vectors:
Tl  0.5000  0.5000  0.5000  4 La 3.30, 4 Pu 3.30
La  0.2500  0.2500  0.2500  4 Tl 3.30, 4 Zn 3.30
Zn  0.0000  0.0000  0.0000  4 La 3.30, 4 Pu 3.30
Pu  0.7500  0.7500  0.7500  4 Tl 3.30, 4 Zn 3.30

First-principles (PBE) data for crystalline La6Tm3Pu at its relaxed geometry, as listed in the Alexandria database.

Computed properties:
Magnetic moment ... 0.613 μB/atom
V ... 34.72 A^3/atom
Formation enthalpy at 0 K ... 2.2 eV per formula unit

a = 6.7940 Å, b = 9.8172 Å, c = 11.9597 Å
α = 90.00°, β = 119.48°, γ = 90.00°
Closest atoms and distances in Å follow each position.
Sites, in units of the cell vectors:
La  0.5050  0.8579  0.9223  1 Pu 3.32, 3 La 3.37-3.65, 3 Tm 3.45-3.64
La  0.5201  0.8408  0.5575  5 La 3.37-3.70, 2 Tm 3.40-3.61, 1 Pu 3.41
La  0.4679  0.4366  0.2555  1 Pu 2.89, 1 Tm 3.23
La  0.5321  0.5634  0.7445  1 Pu 2.89, 1 Tm 3.23
La  0.4799  0.1592  0.4425  5 La 3.37-3.70, 2 Tm 3.40-3.61, 1 Pu 3.41
La  0.4950  0.1421  0.0777  1 Pu 3.32, 3 La 3.37-3.65, 3 Tm 3.45-3.64
La  0.0050  0.6421  0.4223  1 Pu 3.32, 3 La 3.37-3.65, 3 Tm 3.45-3.64
La  0.0201  0.6592  0.0575  5 La 3.37-3.70, 2 Tm 3.40-3.61, 1 Pu 3.41
La  0.9679  0.0634  0.7555  1 Pu 2.89, 1 Tm 3.23
La  0.0321  0.9366  0.2445  1 Pu 2.89, 1 Tm 3.23
La  0.9799  0.3408  0.9425  5 La 3.37-3.70, 2 Tm 3.40-3.61, 1 Pu 3.41
La  0.9950  0.3579  0.5777  1 Pu 3.32, 3 La 3.37-3.65, 3 Tm 3.45-3.64
Tm  0.4839  0.1744  0.7599  7 La 3.40-3.79, 1 Tm 3.65, 1 Pu 3.68
Tm  0.5000  0.5000  0.0000  4 La 3.23-3.61
Tm  0.5161  0.8256  0.2401  7 La 3.40-3.79, 1 Tm 3.65, 1 Pu 3.68
Tm  0.9839  0.3256  0.2599  7 La 3.40-3.79, 1 Tm 3.65, 1 Pu 3.68
Tm  0.0000  0.0000  0.5000  4 La 3.23-3.61
Tm  0.0161  0.6744  0.7401  7 La 3.40-3.79, 1 Tm 3.65, 1 Pu 3.68
Pu  0.5000  0.5000  0.5000  2 La 2.89
Pu  0.0000  0.0000  0.0000  2 La 2.89

First-principles (PBE) data for crystalline La14TmPu at its relaxed geometry, as listed in the Alexandria database.

Computed properties:
Magnetic moment ... 0.427 μB/atom
V ... 35.32 A^3/atom
Formation enthalpy at 0 K ... 0.5 eV per formula unit

a = 7.3626 Å, b = 7.3626 Å, c = 10.4248 Å
α = 90.00°, β = 90.00°, γ = 90.00°
Closest atoms and distances in Å follow each position.
Sites, in units of the cell vectors:
La  0.3750  0.6250  0.5000  12 La 3.63-3.77
La  0.8752  0.1248  0.5000  12 La 3.63-3.82
La  0.8649  0.6189  0.0000  2 Pu 3.61-3.76, 8 La 3.62-3.65, 2 Tm 3.63-3.73
La  0.8817  0.6324  0.5000  12 La 3.63-3.75
La  0.3811  0.1351  0.0000  2 Pu 3.61-3.76, 8 La 3.62-3.65, 2 Tm 3.63-3.73
La  0.3676  0.1183  0.5000  12 La 3.63-3.75
La  0.6220  0.8722  0.7572  1 Pu 3.61, 10 La 3.62-3.76, 1 Tm 3.65
La  0.6220  0.8722  0.2428  1 Pu 3.61, 10 La 3.62-3.76, 1 Tm 3.65
La  0.1278  0.3780  0.7572  1 Pu 3.61, 10 La 3.62-3.76, 1 Tm 3.65
La  0.1278  0.3780  0.2428  1 Pu 3.61, 10 La 3.62-3.76, 1 Tm 3.65
La  0.1292  0.8708  0.7649  1 Pu 3.54, 1 Tm 3.61, 10 La 3.63-3.82
La  0.1292  0.8708  0.2351  1 Pu 3.54, 1 Tm 3.61, 10 La 3.63-3.82
La  0.6236  0.3764  0.7490  10 La 3.63-3.73, 1 Pu 3.68, 1 Tm 3.70
La  0.6236  0.3764  0.2510  10 La 3.63-3.73, 1 Pu 3.68, 1 Tm 3.70
Tm  0.8742  0.1258  0.0000  12 La 3.61-3.73
Pu  0.3751  0.6249  0.0000  12 La 3.54-3.76